Ir2RuRh | SCAN | PBEsol geometry

Unit cell a=3.796 b=3.796 c=4.654 alpha=114.07 beta=114.07 gamma=90.00
Positions (direct):
Ir  0.750  0.250  0.500
Ir  0.250  0.750  0.500
Rh  0.000  0.000  0.000
Ru  0.500  0.500  0.000

Computed properties:
Energy of formation ... -0.041 eV/atom
Fermi-level density of states ... 3.78 states/eV/cell
V ... 13.7 Å³ per atom
Polymorph energy (0 for the lowest one) ... 11.6 meV per atom